The following is a DFT calculation (PBE-GGA) of crystalline K2CrPt at its relaxed geometry.

abc: 3.2092 3.2092 10.6661
angles: 90.00 90.00 90.00
Closest atoms and distances in Å follow each position.
Space group P4/mmm (No. 123)
One atom of each set of equivalent atoms:
K  0.0000  0.0000  0.2133 (multiplicity 2)  4 K 3.21, 4 Pt 3.21
Cr  0.5000  0.5000  0.5000 (multiplicity 1)  4 Cr 3.21
Pt  0.5000  0.5000  0.0000 (multiplicity 1)  4 Pt 3.21, 8 K 3.21

Results
Excess energy over the best structure of this formula in the dataset: 177.5 kJ/mol of formula units
Final energy: -3.74 eV per atom
DOS(E_F): 1.51 states/eV per cell
Energy of formation from the pure elements: 727 meV/atom



The following is a DFT calculation (PBE-GGA) of crystalline CsAg2Au at its relaxed geometry.

abc: 7.6068 7.6068 7.6068
angles: 90.00 90.00 90.00
Closest atoms and distances in Å follow each position.
Space group Fm-3m (No. 225)
One atom of each set of equivalent atoms:
Cs  0.0000  0.0000  0.0000 (multiplicity 4)  8 Ag 3.29
Ag  0.2500  0.2500  0.2500 (multiplicity 8)  4 Cs 3.29, 4 Au 3.29
Au  0.0000  0.0000  0.5000 (multiplicity 4)  8 Ag 3.29

Results
Excess energy over the best structure of this formula in the dataset: 199.1 kJ/mol of formula units
Final energy: -2.03 eV per atom
DOS(E_F): 8.12 states/eV per cell
Energy of formation from the pure elements: 426 meV/atom



The following is a DFT calculation (PBE-GGA) of crystalline YHf at its relaxed geometry.

abc: 11.1036 11.1036 3.2188
angles: 90.00 90.00 120.00
Closest atoms and distances in Å follow each position.
Space group P6_3/m (No. 176)
One atom of each set of equivalent atoms:
Y  0.0567  0.2981  0.2500 (multiplicity 6)  4 Hf 3.06-3.34, 2 Y 3.22
Hf  0.1323  0.6035  0.2500 (multiplicity 6)  4 Y 3.06-3.34, 6 Hf 3.12-3.42

Results
Final energy: -7.78 eV per atom
DOS(E_F): 15.31 states/eV per cell
Energy of formation from the pure elements: 433 meV/atom



The following is a DFT calculation (PBE-GGA) of crystalline Zr2RuCl at its relaxed geometry.

abc: 7.5069 3.2313 8.2471
angles: 90.00 116.30 90.00
Closest atoms and distances in Å follow each position.
Space group C2/m (No. 12)
One atom of each set of equivalent atoms:
Zr  0.1872  0.0000  0.3051 (multiplicity 4)  3 Ru 2.56-2.71, 2 Cl 2.79
Ru  0.0000  0.0000  0.5000 (multiplicity 2)  6 Zr 2.56-2.71
Cl  0.0000  0.5000  0.0000 (multiplicity 2)  4 Zr 2.79

Results
Excess energy over the best structure of this formula in the dataset: 33.7 kJ/mol of formula units
Final energy: -7.66 eV per atom
DOS(E_F): 4.19 states/eV per cell
Formation energy without anion corrections: -609 meV/atom